This record from Alexandria via LeMat-Bulk describes a geometry-optimized GaFeSiHN structure. The functional is PBE.

The calculation puts the density at 5.4 g/cm3. For the density of states at the Fermi level, the calculation gives 2.26 states/eV/cell. As for the total energy: -5.973 eV/atom.

Cell and atoms, written as CIF:
```
data_GaFeSiHN
_chemical_formula_sum 'Ga1 Fe1 Si1 H1 N1'
_symmetry_space_group_name_H-M 'P m m 2'
_symmetry_Int_Tables_number 25
_cell_length_a 2.8373
_cell_length_b 2.9773
_cell_length_c 6.1759
_cell_angle_alpha 90.00
_cell_angle_beta 90.00
_cell_angle_gamma 90.00
loop_
_symmetry_equiv_pos_as_xyz
'x,y,z'
'-x,-y,z'
'-x,y,z'
'x,-y,z'
loop_
_atom_site_label
_atom_site_type_symbol
_atom_site_fract_x
_atom_site_fract_y
_atom_site_fract_z
Ga1 Ga 0.0000 0.0000 0.0000
Fe1 Fe 0.5000 0.5000 0.2337
Si1 Si 0.5000 0.0000 0.5308
H1 H 0.0000 0.5000 0.3619
N1 N 0.0000 0.0000 0.6895
```